# PBE-GGA SmGdPuSc, relaxed
data_SmGdPuSc
_chemical_formula_sum 'Sm4 Gd4 Pu4 Sc4'
_cell_length_a 7.7848
_cell_length_b 7.7848
_cell_length_c 7.7848
_cell_angle_alpha 90.00
_cell_angle_beta 90.00
_cell_angle_gamma 90.00
_space_group_name_H-M_alt 'F -4 3 m'
_space_group_IT_number 216
_space_group_name_Hall 'F -4 2 3'
loop_
_atom_site_label
_atom_site_type_symbol
_atom_site_fract_x
_atom_site_fract_y
_atom_site_fract_z
Sm1 Sm 0.0000 0.0000 0.0000
Gd1 Gd 0.0000 0.0000 0.5000
Pu1 Pu 0.2500 0.2500 0.7500
Sc1 Sc 0.2500 0.2500 0.2500
# **E_tot**: -0.356 Ha/atom
# **DOS at the Fermi energy**: 46.6 states/eV per cell
# **DFT formation energy**: 190 meV per atom